No. 1
# La2ZnSnH | the Alexandria database | PBE-GGA | relaxed
# magnetization	0.0	μB/f.u.
# electronic total energy	-0.308	Ry per atom
data_La2ZnSnH
_chemical_formula_sum 'La2 Zn1 Sn1 H1'
_space_group_name_H-M_alt 'P 4/m m m'
_space_group_IT_number 123
_space_group_name_Hall '-P 4 2'
_cell_length_a 5.058
_cell_length_b 5.058
_cell_length_c 4.449
_cell_angle_alpha 90.00
_cell_angle_beta 90.00
_cell_angle_gamma 90.00
loop_
_atom_site_label
_atom_site_type_symbol
_atom_site_fract_x
_atom_site_fract_y
_atom_site_fract_z
La1 La 0.000 0.500 0.000
Zn1 Zn 0.000 0.000 0.500
Sn1 Sn 0.500 0.500 0.500
H1 H 0.000 0.000 0.000

=====

No. 2
# GaCoGePt | the Alexandria database | PBE-GGA | relaxed
# magnetization	0.5	μB/f.u.
# excess energy over the best structure of this formula in the dataset	1	meV per atom
# ΔE_f	-0.314	eV per atom
data_GaCoGePt
_chemical_formula_sum 'Ga2 Co2 Ge2 Pt2'
_space_group_name_H-M_alt 'I 4 m m'
_space_group_IT_number 107
_space_group_name_Hall 'I 4 -2'
_cell_length_a 2.906
_cell_length_b 2.906
_cell_length_c 13.976
_cell_angle_alpha 90.00
_cell_angle_beta 90.00
_cell_angle_gamma 90.00
loop_
_atom_site_label
_atom_site_type_symbol
_atom_site_fract_x
_atom_site_fract_y
_atom_site_fract_z
Ga1 Ga 0.000 0.000 0.000
Co1 Co 0.000 0.000 0.605
Ge1 Ge 0.000 0.000 0.208
Pt1 Pt 0.000 0.000 0.386

=====

No. 3
# Tb7Nd16Sm6 | the Alexandria database | PBE-GGA | relaxed
# magnetization	0.0	μB/f.u.
# ΔE_f	0.206	eV per atom
data_Tb7Nd16Sm6
_chemical_formula_sum 'Tb28 Nd64 Sm24'
_space_group_name_H-M_alt 'F m -3 m'
_space_group_IT_number 225
_space_group_name_Hall '-F 4 2 3'
_cell_length_a 16.086
_cell_length_b 16.086
_cell_length_c 16.086
_cell_angle_alpha 90.00
_cell_angle_beta 90.00
_cell_angle_gamma 90.00
loop_
_atom_site_label
_atom_site_type_symbol
_atom_site_fract_x
_atom_site_fract_y
_atom_site_fract_z
Tb1 Tb 0.000 0.000 0.000
Tb2 Tb 0.000 0.250 0.250
Nd1 Nd 0.126 0.126 0.126
Nd2 Nd 0.150 0.150 0.350
Sm1 Sm 0.000 0.000 0.268

=====

No. 4
# Li2Al4Ag5 | the Alexandria database | PBE-GGA | relaxed
# magnetization	0.0	μB/f.u.
# ΔE_f	-0.086	eV per atom
data_Li2Al4Ag5
_chemical_formula_sum 'Li4 Al8 Ag10'
_space_group_name_H-M_alt 'I m m m'
_space_group_IT_number 71
_space_group_name_Hall '-I 2 2'
_cell_length_a 5.454
_cell_length_b 8.249
_cell_length_c 8.882
_cell_angle_alpha 90.00
_cell_angle_beta 90.00
_cell_angle_gamma 90.00
loop_
_atom_site_label
_atom_site_type_symbol
_atom_site_fract_x
_atom_site_fract_y
_atom_site_fract_z
Li1 Li 0.000 0.000 0.194
Al1 Al 0.000 0.327 0.258
Ag1 Ag 0.000 0.500 0.500
Ag2 Ag 0.249 0.182 0.500